No. 1
# Li3CrCu4O8

A PBEsol-optimized structure of Li3CrCu4O8 (SCAN, Alexandria).

Output
Symmetry: C2/m
Electronic total energy (eV per atom): -9.9638
Calculated volume (Å³ per atom): 9.1

CIF file:
```
data_Li3CrCu4O8
_symmetry_space_group_name_H-M 'P 1'
_symmetry_Int_Tables_number 1
_cell_length_a 5.4787
_cell_length_b 5.6354
_cell_length_c 5.9843
_cell_angle_alpha 118.09
_cell_angle_beta 113.52
_cell_angle_gamma 90.00
loop_
_symmetry_equiv_pos_as_xyz
'x,y,z'
loop_
_atom_site_label
_atom_site_type_symbol
_atom_site_fract_x
_atom_site_fract_y
_atom_site_fract_z
_atom_site_occupancy
Cu1 Cu 0.5000 0.0000 0.5000 1
Cu2 Cu 0.5000 0.5000 0.0000 1
O1 O 0.2347 0.7010 0.4021 1
O2 O 0.7653 0.2990 0.5979 1
O3 O 0.7579 0.7987 0.5974 1
O4 O 0.2240 0.2361 0.9357 1
O5 O 0.7760 0.3004 0.0643 1
Li1 Li 0.0000 0.5000 0.5000 1
Cu3 Cu 0.5000 0.5000 0.5000 1
Li2 Li 0.5000 0.0000 0.0000 1
Cu4 Cu 0.0000 0.0000 0.0000 1
O6 O 0.2240 0.6996 0.9357 1
O7 O 0.7760 0.7639 0.0643 1
O8 O 0.2421 0.2013 0.4026 1
Cr1 Cr 0.0000 0.5000 0.0000 1
Li3 Li 0.0000 0.0000 0.5000 1
```

No. 2
# K2Li2Pd

A PBEsol-optimized structure of K2Li2Pd (SCAN, Alexandria).

Output
Symmetry: P4/mbm
E_form (eV/atom): 0.05
Calculated volume (Å³ per atom): 28.0

CIF file:
```
data_K2Li2Pd
_symmetry_space_group_name_H-M 'P 1'
_symmetry_Int_Tables_number 1
_cell_length_a 5.6679
_cell_length_b 7.0264
_cell_length_c 7.0264
_cell_angle_alpha 90.00
_cell_angle_beta 90.00
_cell_angle_gamma 90.00
loop_
_symmetry_equiv_pos_as_xyz
'x,y,z'
loop_
_atom_site_label
_atom_site_type_symbol
_atom_site_fract_x
_atom_site_fract_y
_atom_site_fract_z
_atom_site_occupancy
Li1 Li 0.0000 0.6654 0.1654 1
K1 K 0.5000 0.3069 0.1931 1
K2 K 0.5000 0.8069 0.3069 1
Pd1 Pd 0.0000 0.5000 0.5000 1
Li2 Li 0.0000 0.1654 0.3346 1
K3 K 0.5000 0.1931 0.6931 1
Li3 Li 0.0000 0.3346 0.8346 1
Pd2 Pd 0.0000 0.0000 0.0000 1
K4 K 0.5000 0.6931 0.8069 1
Li4 Li 0.0000 0.8346 0.6654 1
```

No. 3
# Ta2NiP

A PBEsol-optimized structure of Ta2NiP (SCAN, Alexandria).

Output
Symmetry: Amm2
E_form (eV/atom): -0.70
Calculated volume (Å³ per atom): 14.1

CIF file:
```
data_Ta2NiP
_symmetry_space_group_name_H-M 'P 1'
_symmetry_Int_Tables_number 1
_cell_length_a 3.4327
_cell_length_b 3.4944
_cell_length_c 4.9993
_cell_angle_alpha 90.00
_cell_angle_beta 110.08
_cell_angle_gamma 90.00
loop_
_symmetry_equiv_pos_as_xyz
'x,y,z'
loop_
_atom_site_label
_atom_site_type_symbol
_atom_site_fract_x
_atom_site_fract_y
_atom_site_fract_z
_atom_site_occupancy
P1 P 0.6816 0.5000 0.3633 1
Ni1 Ni 0.8189 0.0000 0.6378 1
Ta1 Ta 0.4051 0.5000 0.8102 1
Ta2 Ta 0.0936 0.0000 0.1873 1
```